Entry 1:
CaAlBiN2 | PBE | optimized geometry

## Properties
- size of the total moment (μB/cell) = 0.641
- calculated density (g/cm3) = 5.4
- E_form (uncorrected) (eV per formula unit) = 4.28
- DFT total energy (eV/atom) = -4.3998

Cell: 4.0378 4.0378 5.7615 Å, 90.00 90.00 90.00°
Space group P4/mmm (No. 123)
One atom of each set of equivalent atoms:
1 Ca 0.0000 0.0000 0.0000
2 Al 0.0000 0.0000 0.5000
3 Bi 0.5000 0.5000 0.0000
4 N 0.0000 0.5000 0.5000

Entry 2:
LaSmCCl | PBE | optimized geometry

## Properties
- size of the total moment (μB/cell) = 0.000
- calculated density (g/cm3) = 6.2
- E_form (uncorrected) (eV per formula unit) = -4.14
- DFT total energy (eV/atom) = -6.2143

Cell: 3.7582 3.7582 21.9592 Å, 90.00 90.00 120.00°
Space group R3m (No. 160, hexagonal axes)
One atom of each set of equivalent atoms:
1 La 0.0000 0.0000 0.0000
2 Sm 0.0000 0.0000 0.7937
3 C 0.0000 0.0000 0.3999
4 Cl 0.0000 0.0000 0.2234

Entry 3:
V6Cr2Re | PBE | optimized geometry

## Properties
- size of the total moment (μB/cell) = 0.001
- calculated density (g/cm3) = 8.4
- DFT total energy (eV/atom) = -9.7448
- ΔH_f (0 K) (eV/atom) = -0.14
- energy relative to the lowest polymorph listed for this composition (eV/f.u.) = 0.00

Cell: 4.2080 4.2080 7.6929 Å, 90.00 90.00 120.00°
Space group P-3m1 (No. 164)
One atom of each set of equivalent atoms:
1 V 0.0000 0.0000 0.1622
2 V 0.3333 0.6667 0.3840
3 V 0.3333 0.6667 0.7324
4 Cr 0.3333 0.6667 0.0513
5 Re 0.0000 0.0000 0.5000

- What is the formula in the third record?
  V6Cr2Re

Copy entry 1 word for word.
CaAlBiN2 | PBE | optimized geometry

## Properties
- size of the total moment (μB/cell) = 0.641
- calculated density (g/cm3) = 5.4
- E_form (uncorrected) (eV per formula unit) = 4.28
- DFT total energy (eV/atom) = -4.3998

Cell: 4.0378 4.0378 5.7615 Å, 90.00 90.00 90.00°
Space group P4/mmm (No. 123)
One atom of each set of equivalent atoms:
1 Ca 0.0000 0.0000 0.0000
2 Al 0.0000 0.0000 0.5000
3 Bi 0.5000 0.5000 0.0000
4 N 0.0000 0.5000 0.5000